#a
Here is CoMoNF2 after structural relaxation from Alexandria. Energies are from PBE+U.

```
CoMoNF2
1.0
-0.309 3.179 2.746
-1.434 -2.668 2.928
3.737 -0.682 1.209
N Co F Mo
1 1 2 1
direct
0.000 0.000 0.500
0.500 0.500 0.500
0.000 0.500 0.000
0.500 0.000 0.000
0.000 0.000 0.000
```

Calculated volume, Å³ per atom: 14.15
Total moment, Bohr magnetons per cell: 2.4


#b
Here is CoMoNF2 after structural relaxation from Alexandria. Energies are from PBE+U.

```
CoMoNF2
1.0
-0.859 0.423 3.873
1.770 -3.490 0.773
3.368 1.829 0.547
N F Mo Co
1 2 1 1
direct
0.000 0.000 0.500
0.000 0.500 0.000
0.500 0.000 0.000
0.500 0.500 0.500
0.000 0.000 0.000
```

Calculated volume, Å³ per atom: 12.32
Total moment, Bohr magnetons per cell: 7.4


Need the numbers? Relative energies in meV per atom: #a 51; #b 0.


#a
Here is CoMoN2F after structural relaxation from Alexandria. Energies are from PBE+U.

```
CoMoN2F
1.0
-1.031 -0.375 3.844
2.153 -3.360 0.250
3.265 2.173 1.088
N Co Mo F
2 1 1 1
direct
0.500 0.000 0.000
0.000 0.500 0.000
0.500 0.500 0.500
0.000 0.000 0.000
0.000 0.000 0.500
```

Calculated volume, Å³ per atom: 13.01
Total moment, Bohr magnetons per cell: 3.3


#b
Here is CoMoN2F after structural relaxation from Alexandria. Energies are from PBE+U.

```
CoMoN2F
1.0
3.815 0.000 0.000
0.000 3.815 0.000
0.000 0.000 3.707
F Mo N Co
1 1 2 1
direct
0.000 0.000 0.500
0.500 0.500 0.500
0.000 0.500 0.000
0.500 0.000 0.000
0.000 0.000 0.000
```

Calculated volume, Å³ per atom: 10.79
Total moment, Bohr magnetons per cell: 4.0


Need the numbers? Relative energies in meV per atom: #a 0; #b 217.


#a
Here is Co2SiMoF after structural relaxation from Alexandria. Energies are from PBE+U.

```
Co2SiMoF
1.0
4.875 0.000 0.000
0.000 4.727 0.000
0.000 0.000 4.875
Mo Co Si F
1 2 1 1
direct
0.000 0.000 0.000
0.000 0.000 0.500
0.500 0.000 0.000
0.000 0.500 0.000
0.500 0.500 0.500
```

Calculated volume, Å³ per atom: 22.47
Total moment, Bohr magnetons per cell: 5.9


#b
Here is Co2SiMoF after structural relaxation from Alexandria. Energies are from PBE+U.

```
Co2SiMoF
1.0
4.239 0.000 0.000
0.000 5.086 0.000
0.000 0.000 4.239
Si Co F Mo
1 2 1 1
direct
0.000 0.000 0.000
0.000 0.000 0.500
0.500 0.000 0.000
0.500 0.500 0.500
0.000 0.500 0.000
```

Calculated volume, Å³ per atom: 18.28
Total moment, Bohr magnetons per cell: 6.7


Need the numbers? Relative energies in meV per atom: #a 724; #b 0.


#a
Here is CoNF2 after structural relaxation from Alexandria. Energies are from PBE+U.

```
CoNF2
1.0
0.000 2.666 2.666
2.666 0.000 2.666
2.666 2.666 0.000
Co N F
1 1 2
direct
0.500 0.500 0.500
0.000 0.000 0.000
0.750 0.750 0.750
0.250 0.250 0.250
```

Calculated volume, Å³ per atom: 9.47
Total moment, Bohr magnetons per cell: 3.2


#b
Here is CoNF2 after structural relaxation from Alexandria. Energies are from PBE+U.

```
CoNF2
1.0
-6.429 -2.808 5.575
-5.286 -1.083 7.155
-7.099 -0.295 5.461
N F Co
1 2 1
direct
0.500 0.500 0.500
0.936 0.936 0.936
0.064 0.064 0.064
0.000 0.000 0.000
```

Calculated volume, Å³ per atom: 12.96
Total moment, Bohr magnetons per cell: 2.9


Need the numbers? Relative energies in meV per atom: #a 189; #b 0.


#a
Here is CoNF2 after structural relaxation from Alexandria. Energies are from PBE+U.

```
CoNF2
1.0
3.221 0.000 0.000
0.000 5.443 -1.234
0.000 -0.268 7.230
F N Co
4 2 2
direct
0.778 0.631 0.417
0.278 0.131 0.417
0.778 0.055 0.686
0.278 0.555 0.686
0.778 0.843 0.051
0.278 0.343 0.052
0.278 0.843 0.552
0.778 0.343 0.552
```

Calculated volume, Å³ per atom: 15.71
Total moment, Bohr magnetons per cell: 11.9


#b
Here is CoNF2 after structural relaxation from Alexandria. Energies are from PBE+U.

```
CoNF2
1.0
-1.319 -4.261 -3.692
5.584 -0.466 -1.458
2.644 -4.928 0.203
F Co N
4 2 2
direct
0.375 0.267 0.750
0.875 0.983 0.750
0.017 0.625 0.250
0.733 0.125 0.250
0.750 0.250 0.500
0.000 0.000 0.000
0.250 0.750 0.500
0.500 0.500 0.000
```

Calculated volume, Å³ per atom: 15.99
Total moment, Bohr magnetons per cell: 6.1


Need the numbers? Relative energies in meV per atom: #a 0; #b 652.


#a
Here is NbCoN2F after structural relaxation from Alexandria. Energies are from PBE+U.

```
NbCoN2F
1.0
-1.202 1.668 -3.531
0.639 -3.561 -1.900
-3.792 -1.094 0.774
Co N Nb F
1 2 1 1
direct
0.500 0.500 0.500
0.500 0.000 0.000
0.000 0.500 0.000
0.000 0.000 0.000
0.000 0.000 0.500
```

Calculated volume, Å³ per atom: 13.43
Total moment, Bohr magnetons per cell: 2.4


#b
Here is NbCoN2F after structural relaxation from Alexandria. Energies are from PBE+U.

```
NbCoN2F
1.0
-0.074 -2.201 3.055
-1.468 -2.797 -2.050
3.245 -1.152 -0.751
N Co Nb F
2 1 1 1
direct
0.000 0.500 0.000
0.500 0.000 0.000
0.000 0.000 0.000
0.500 0.500 0.500
0.000 0.000 0.500
```

Calculated volume, Å³ per atom: 10.00
Total moment, Bohr magnetons per cell: 0.9


Need the numbers? Relative energies in meV per atom: #a 0; #b 405.


#a
Here is CoNiNF2 after structural relaxation from Alexandria. Energies are from PBE+U.

```
CoNiNF2
1.0
-1.645 1.293 3.342
2.671 -2.009 2.092
2.207 2.899 -0.034
N F Co Ni
1 2 1 1
direct
0.000 0.000 0.500
0.000 0.500 0.000
0.500 0.000 0.000
0.000 0.000 0.000
0.500 0.500 0.500
```

Calculated volume, Å³ per atom: 11.33
Total moment, Bohr magnetons per cell: 0.8


#b
Here is CoNiNF2 after structural relaxation from Alexandria. Energies are from PBE+U.

```
CoNiNF2
1.0
3.770 0.000 0.000
0.000 3.770 0.000
0.000 0.000 4.092
F N Ni Co
2 1 1 1
direct
0.000 0.500 0.000
0.500 0.000 0.000
0.000 0.000 0.500
0.000 0.000 0.000
0.500 0.500 0.500
```

Calculated volume, Å³ per atom: 11.63
Total moment, Bohr magnetons per cell: 4.0


Need the numbers? Relative energies in meV per atom: #a 0; #b 8.


#a
Here is CoOsNF2 after structural relaxation from Alexandria. Energies are from PBE+U.

```
CoOsNF2
1.0
-1.797 2.619 -1.950
0.034 -2.210 -3.001
-3.606 -1.617 1.151
N Os F Co
1 1 2 1
direct
0.000 0.000 0.500
0.500 0.500 0.500
0.000 0.500 0.000
0.500 0.000 0.000
0.000 0.000 0.000
```

Calculated volume, Å³ per atom: 11.44
Total moment, Bohr magnetons per cell: 4.8


#b
Here is CoOsNF2 after structural relaxation from Alexandria. Energies are from PBE+U.

```
CoOsNF2
1.0
4.264 0.000 0.000
0.000 4.264 0.000
0.000 0.000 3.759
Os F N Co
1 2 1 1
direct
0.000 0.000 0.000
0.500 0.000 0.000
0.000 0.500 0.000
0.000 0.000 0.500
0.500 0.500 0.500
```

Calculated volume, Å³ per atom: 13.67
Total moment, Bohr magnetons per cell: 2.6


Need the numbers? Relative energies in meV per atom: #a 526; #b 0.


#a
Here is CoPN2F after structural relaxation from Alexandria. Energies are from PBE+U.

```
CoPN2F
1.0
-2.608 -2.287 -0.667
2.294 -2.144 -1.617
0.677 -1.714 3.233
N Co P F
2 1 1 1
direct
0.000 0.500 0.000
0.500 0.000 0.000
0.500 0.500 0.500
0.000 0.000 0.000
0.000 0.000 0.500
```

Calculated volume, Å³ per atom: 9.29
Total moment, Bohr magnetons per cell: 2.8


#b
Here is CoPN2F after structural relaxation from Alexandria. Energies are from PBE+U.

```
CoPN2F
1.0
-0.365 -3.492 -1.328
1.426 1.103 -3.292
3.340 -0.798 1.179
F P N Co
1 1 2 1
direct
0.000 0.000 0.500
0.500 0.500 0.500
0.500 0.000 0.000
0.000 0.500 0.000
0.000 0.000 0.000
```

Calculated volume, Å³ per atom: 10.23
Total moment, Bohr magnetons per cell: 0.6


Need the numbers? Relative energies in meV per atom: #a 0; #b 617.


#a
Here is CoPNF2 after structural relaxation from Alexandria. Energies are from PBE+U.

```
CoPNF2
1.0
-1.129 -2.513 -2.489
2.827 -2.211 0.950
-2.316 -1.751 2.819
P F N Co
1 2 1 1
direct
0.500 0.500 0.500
0.500 0.000 0.000
0.000 0.500 0.000
0.000 0.000 0.500
0.000 0.000 0.000
```

Calculated volume, Å³ per atom: 11.15
Total moment, Bohr magnetons per cell: 1.1


#b
Here is CoPNF2 after structural relaxation from Alexandria. Energies are from PBE+U.

```
CoPNF2
1.0
4.390 0.000 0.000
0.000 4.390 0.000
0.000 0.000 3.294
N F Co P
1 2 1 1
direct
0.000 0.000 0.500
0.000 0.500 0.000
0.500 0.000 0.000
0.500 0.500 0.500
0.000 0.000 0.000
```

Calculated volume, Å³ per atom: 12.70
Total moment, Bohr magnetons per cell: 2.5


Need the numbers? Relative energies in meV per atom: #a 250; #b 0.


#a
Here is CoRhN2F after structural relaxation from Alexandria. Energies are from PBE+U.

```
CoRhN2F
1.0
-2.020 0.253 -3.100
2.368 -2.272 -1.728
-2.035 -2.946 1.085
F N Rh Co
1 2 1 1
direct
0.000 0.000 0.500
0.500 0.000 0.000
0.000 0.500 0.000
0.500 0.500 0.500
0.000 0.000 0.000
```

Calculated volume, Å³ per atom: 10.29
Total moment, Bohr magnetons per cell: 0.7


#b
Here is CoRhN2F after structural relaxation from Alexandria. Energies are from PBE+U.

```
CoRhN2F
1.0
-0.626 -3.511 1.236
3.693 -0.430 0.650
-0.563 1.600 4.259
Co N Rh F
1 2 1 1
direct
0.500 0.500 0.500
0.500 0.000 0.000
0.000 0.500 0.000
0.000 0.000 0.000
0.000 0.000 0.500
```

Calculated volume, Å³ per atom: 13.06
Total moment, Bohr magnetons per cell: 2.9


Need the numbers? Relative energies in meV per atom: #a 77; #b 0.


#a
Here is CoRhNF2 after structural relaxation from Alexandria. Energies are from PBE+U.

```
CoRhNF2
1.0
-2.786 -1.485 2.541
2.933 -1.696 2.225
0.217 2.942 1.957
F N Co Rh
2 1 1 1
direct
0.000 0.500 0.000
0.500 0.000 0.000
0.000 0.000 0.500
0.000 0.000 0.000
0.500 0.500 0.500
```

Calculated volume, Å³ per atom: 11.63
Total moment, Bohr magnetons per cell: 3.4


#b
Here is CoRhNF2 after structural relaxation from Alexandria. Energies are from PBE+U.

```
CoRhNF2
1.0
4.370 0.000 0.000
0.000 4.370 0.000
0.000 0.000 3.664
F Rh N Co
2 1 1 1
direct
0.500 0.000 0.000
0.000 0.500 0.000
0.000 0.000 0.000
0.000 0.000 0.500
0.500 0.500 0.500
```

Calculated volume, Å³ per atom: 13.99
Total moment, Bohr magnetons per cell: 2.4


Need the numbers? Relative energies in meV per atom: #a 141; #b 0.


#a
Here is CoSN2F after structural relaxation from Alexandria. Energies are from PBE+U.

```
CoSN2F
1.0
3.383 0.000 0.000
0.000 3.383 0.000
0.000 0.000 5.044
S Co N F
1 1 2 1
direct
0.000 0.000 0.000
0.500 0.500 0.500
0.500 0.000 0.000
0.000 0.500 0.000
0.000 0.000 0.500
```

Calculated volume, Å³ per atom: 11.54
Total moment, Bohr magnetons per cell: 2.8


#b
Here is CoSN2F after structural relaxation from Alexandria. Energies are from PBE+U.

```
CoSN2F
1.0
-2.307 2.967 0.188
0.000 -0.237 3.755
2.983 2.310 0.146
N S F Co
2 1 1 1
direct
0.500 0.000 0.000
0.000 0.500 0.000
0.500 0.500 0.500
0.000 0.000 0.500
0.000 0.000 0.000
```

Calculated volume, Å³ per atom: 10.69
Total moment, Bohr magnetons per cell: 1.7


Need the numbers? Relative energies in meV per atom: #a 0; #b 17.


#a
Here is CoSN2F after structural relaxation from Alexandria. Energies are from PBE+U.

```
CoSN2F
1.0
-1.870 -2.755 -1.436
3.056 -1.932 -0.272
-1.013 -2.451 6.022
N S Co F
2 1 1 1
direct
0.000 0.500 0.000
0.500 0.000 0.000
0.000 0.000 0.500
0.500 0.500 0.500
0.000 0.000 0.000
```

Calculated volume, Å³ per atom: 17.30
Total moment, Bohr magnetons per cell: 6.7


#b
Here is CoSN2F after structural relaxation from Alexandria. Energies are from PBE+U.

```
CoSN2F
1.0
3.523 0.000 0.000
0.000 3.523 0.000
0.000 0.000 4.869
F N Co S
1 2 1 1
direct
0.500 0.500 0.500
0.500 0.000 0.000
0.000 0.500 0.000
0.000 0.000 0.000
0.000 0.000 0.500
```

Calculated volume, Å³ per atom: 12.09
Total moment, Bohr magnetons per cell: 2.9


Need the numbers? Relative energies in meV per atom: #a 870; #b 0.